# 1
Material: K4CdPd3O8
Method: DFT, PBE
State: relaxed

Summary:
Space-group type   No. 12
E_form (uncorrected)   -86.4 kJ/mol of atoms
Energy   -4.68 eV/atom

Unit cell a=7.027 b=7.027 c=6.800 alpha=117.20 beta=117.20 gamma=54.73
Sites, in units of the cell vectors:
K  0.000  0.000  0.000
K  0.000  0.500  0.000
K  0.500  0.000  0.000
K  0.500  0.500  0.000
Cd  0.000  0.000  0.500
Pd  0.000  0.500  0.500
Pd  0.500  0.000  0.500
Pd  0.500  0.500  0.500
O  0.217  0.673  0.641
O  0.230  0.230  0.292
O  0.247  0.247  0.692
O  0.327  0.783  0.359
O  0.673  0.217  0.641
O  0.753  0.753  0.308
O  0.770  0.770  0.708
O  0.783  0.327  0.359

# 2
Material: K4Pm3CdO8
Method: DFT, PBE
State: relaxed

Summary:
Space-group type   No. 166
E_form (uncorrected)   -211.7 kJ/mol of atoms
Energy   -5.90 eV/atom

Unit cell a=7.536 b=7.536 c=7.536 alpha=56.64 beta=56.64 gamma=56.64
Sites, in units of the cell vectors:
K  0.000  0.000  0.000
K  0.000  0.500  0.500
K  0.500  0.000  0.500
K  0.500  0.500  0.000
Pm  0.000  0.000  0.500
Pm  0.000  0.500  0.000
Pm  0.500  0.000  0.000
Cd  0.500  0.500  0.500
O  0.227  0.735  0.735
O  0.230  0.230  0.230
O  0.265  0.265  0.773
O  0.265  0.773  0.265
O  0.735  0.227  0.735
O  0.735  0.735  0.227
O  0.770  0.770  0.770
O  0.773  0.265  0.265

# 3
Material: K3Pm2CdO6
Method: DFT, PBE
State: relaxed

Summary:
Space-group type   No. 12
E_form (uncorrected)   -197.5 kJ/mol of atoms
Energy   -5.67 eV/atom

Unit cell a=6.164 b=6.164 c=6.621 alpha=98.87 beta=98.87 gamma=119.98
Sites, in units of the cell vectors:
K  0.000  0.000  0.000
K  0.339  0.661  0.000
K  0.661  0.339  0.000
Pm  0.167  0.833  0.500
Pm  0.833  0.167  0.500
Cd  0.500  0.500  0.500
O  0.097  0.435  0.303
O  0.228  0.228  0.695
O  0.435  0.097  0.303
O  0.565  0.903  0.697
O  0.772  0.772  0.305
O  0.903  0.565  0.697

# 4
Material: KPrCdO3
Method: DFT, PBE
State: relaxed

Summary:
Space-group type   No. 11
E_form (uncorrected)   -194.0 kJ/mol of atoms
Energy   -5.62 eV/atom

Unit cell a=6.403 b=3.600 c=8.529 alpha=90.00 beta=91.48 gamma=90.00
Sites, in units of the cell vectors:
K  0.074  0.250  0.166
K  0.926  0.750  0.834
Pr  0.425  0.250  0.815
Pr  0.575  0.750  0.185
Cd  0.233  0.750  0.494
Cd  0.767  0.250  0.506
O  0.111  0.250  0.645
O  0.307  0.750  0.977
O  0.421  0.250  0.341
O  0.579  0.750  0.659
O  0.693  0.250  0.023
O  0.889  0.750  0.355

# 5
Material: K3Cd2PtO6
Method: DFT, PBE
State: relaxed

Summary:
Space-group type   No. 12
E_form (uncorrected)   -103.4 kJ/mol of atoms
Energy   -4.48 eV/atom

Unit cell a=5.918 b=5.918 c=6.302 alpha=99.10 beta=99.10 gamma=119.93
Sites, in units of the cell vectors:
K  0.000  0.000  0.000
K  0.329  0.671  0.000
K  0.671  0.329  0.000
Cd  0.166  0.834  0.500
Cd  0.834  0.166  0.500
Pt  0.500  0.500  0.500
O  0.146  0.438  0.315
O  0.272  0.272  0.686
O  0.438  0.146  0.315
O  0.562  0.854  0.685
O  0.728  0.728  0.314
O  0.854  0.562  0.685

# 6
Material: K2CdPtO4
Method: DFT, PBE
State: relaxed

Summary:
Space-group type   No. 70
E_form (uncorrected)   -79.8 kJ/mol of atoms
Energy   -4.45 eV/atom

Unit cell a=12.087 b=10.372 c=7.672 alpha=82.66 beta=58.32 gamma=39.01
Sites, in units of the cell vectors:
K  0.057  0.057  0.693
K  0.307  0.307  0.943
K  0.693  0.693  0.057
K  0.943  0.943  0.307
Cd  0.125  0.125  0.125
Cd  0.875  0.875  0.875
Pt  0.375  0.375  0.375
Pt  0.625  0.625  0.625
O  0.059  0.693  0.498
O  0.250  0.498  0.693
O  0.307  0.941  0.750
O  0.498  0.250  0.059
O  0.502  0.750  0.941
O  0.693  0.059  0.250
O  0.750  0.502  0.307
O  0.941  0.307  0.502